Record 1
# Rb3TmNb2O8 | Alexandria | GGA-PBE | relaxed
# raw formation energy = -2.582 eV per atom
# DFT total energy = -7.38 eV/atom
data_Rb3TmNb2O8
_chemical_formula_sum 'Rb3 Tm1 Nb2 O8'
_symmetry_space_group_name_H-M 'P 1'
_symmetry_Int_Tables_number 1
_symmetry_space_group_name_Hall 'P 1'
_cell_length_a 6.239
_cell_length_b 6.239
_cell_length_c 8.038
_cell_angle_alpha 90.00
_cell_angle_beta 90.00
_cell_angle_gamma 120.00
loop_
_atom_site_label
_atom_site_fract_x
_atom_site_fract_y
_atom_site_fract_z
Rb1 0.000 0.000 0.000
Rb2 0.333 0.667 0.692
Rb3 0.667 0.333 0.308
Tm1 0.000 0.000 0.500
Nb1 0.333 0.667 0.254
Nb2 0.667 0.333 0.746
O1 0.168 0.336 0.335
O2 0.168 0.832 0.335
O3 0.333 0.667 0.027
O4 0.336 0.168 0.665
O5 0.664 0.832 0.335
O6 0.667 0.333 0.973
O7 0.832 0.168 0.665
O8 0.832 0.664 0.665

---

Record 2
# RbUNbO6 | Alexandria | GGA-PBE | relaxed
# raw formation energy = -2.732 eV per atom
# DFT total energy = -8.52 eV/atom
data_RbUNbO6
_chemical_formula_sum 'Rb2 U2 Nb2 O12'
_symmetry_space_group_name_H-M 'P 1'
_symmetry_Int_Tables_number 1
_symmetry_space_group_name_Hall 'P 1'
_cell_length_a 7.701
_cell_length_b 7.701
_cell_length_c 7.701
_cell_angle_alpha 121.38
_cell_angle_beta 118.25
_cell_angle_gamma 90.34
loop_
_atom_site_label
_atom_site_fract_x
_atom_site_fract_y
_atom_site_fract_z
Rb1 0.362 0.112 0.250
Rb2 0.638 0.888 0.750
U1 0.000 0.500 0.500
U2 0.500 0.500 0.000
Nb1 0.000 0.000 0.500
Nb2 0.000 0.500 0.000
O1 0.056 0.806 0.250
O2 0.058 0.431 0.239
O3 0.058 0.819 0.627
O4 0.308 0.181 0.739
O5 0.308 0.569 0.127
O6 0.323 0.573 0.750
O7 0.677 0.427 0.250
O8 0.692 0.431 0.873
O9 0.692 0.819 0.261
O10 0.942 0.181 0.373
O11 0.942 0.569 0.761
O12 0.944 0.194 0.750

---

Record 3
# Rb4U3NbO12 | Alexandria | GGA-PBE | relaxed
# raw formation energy = -2.736 eV per atom
# DFT total energy = -8.10 eV/atom
data_Rb4U3NbO12
_chemical_formula_sum 'Rb4 U3 Nb1 O12'
_symmetry_space_group_name_H-M 'P 1'
_symmetry_Int_Tables_number 1
_symmetry_space_group_name_Hall 'P 1'
_cell_length_a 7.442
_cell_length_b 7.442
_cell_length_c 7.442
_cell_angle_alpha 109.47
_cell_angle_beta 109.47
_cell_angle_gamma 109.47
loop_
_atom_site_label
_atom_site_fract_x
_atom_site_fract_y
_atom_site_fract_z
Rb1 0.000 0.000 0.500
Rb2 0.000 0.500 0.000
Rb3 0.500 0.000 0.000
Rb4 0.500 0.500 0.500
U1 0.000 0.500 0.500
U2 0.500 0.000 0.500
U3 0.500 0.500 0.000
Nb1 0.000 0.000 0.000
O1 0.000 0.240 0.240
O2 0.000 0.760 0.760
O3 0.240 0.000 0.240
O4 0.240 0.240 0.000
O5 0.250 0.500 0.750
O6 0.250 0.750 0.500
O7 0.500 0.250 0.750
O8 0.500 0.750 0.250
O9 0.750 0.250 0.500
O10 0.750 0.500 0.250
O11 0.760 0.000 0.760
O12 0.760 0.760 0.000

---

Record 4
# RbUNb2O8 | Alexandria | GGA-PBE | relaxed
# raw formation energy = -2.652 eV per atom
# DFT total energy = -8.66 eV/atom
data_RbUNb2O8
_chemical_formula_sum 'Rb1 U1 Nb2 O8'
_symmetry_space_group_name_H-M 'P 1'
_symmetry_Int_Tables_number 1
_symmetry_space_group_name_Hall 'P 1'
_cell_length_a 5.673
_cell_length_b 5.673
_cell_length_c 7.789
_cell_angle_alpha 104.84
_cell_angle_beta 104.84
_cell_angle_gamma 70.01
loop_
_atom_site_label
_atom_site_fract_x
_atom_site_fract_y
_atom_site_fract_z
Rb1 0.000 0.000 0.000
U1 0.000 0.000 0.500
Nb1 0.440 0.440 0.786
Nb2 0.560 0.560 0.214
O1 0.227 0.227 0.617
O2 0.234 0.739 0.696
O3 0.261 0.766 0.304
O4 0.363 0.363 0.992
O5 0.637 0.637 0.008
O6 0.739 0.234 0.696
O7 0.766 0.261 0.304
O8 0.773 0.773 0.383

---

Q: What is the raw formation energy in the third record?
A: -2.736 eV per atom

---

Q: Among the records above, which one has the lowest DFT total energy?
A: RbUNb2O8

---

Please write out number 2 again, unchanged.
# RbUNbO6 | Alexandria | GGA-PBE | relaxed
# raw formation energy = -2.732 eV per atom
# DFT total energy = -8.52 eV/atom
data_RbUNbO6
_chemical_formula_sum 'Rb2 U2 Nb2 O12'
_symmetry_space_group_name_H-M 'P 1'
_symmetry_Int_Tables_number 1
_symmetry_space_group_name_Hall 'P 1'
_cell_length_a 7.701
_cell_length_b 7.701
_cell_length_c 7.701
_cell_angle_alpha 121.38
_cell_angle_beta 118.25
_cell_angle_gamma 90.34
loop_
_atom_site_label
_atom_site_fract_x
_atom_site_fract_y
_atom_site_fract_z
Rb1 0.362 0.112 0.250
Rb2 0.638 0.888 0.750
U1 0.000 0.500 0.500
U2 0.500 0.500 0.000
Nb1 0.000 0.000 0.500
Nb2 0.000 0.500 0.000
O1 0.056 0.806 0.250
O2 0.058 0.431 0.239
O3 0.058 0.819 0.627
O4 0.308 0.181 0.739
O5 0.308 0.569 0.127
O6 0.323 0.573 0.750
O7 0.677 0.427 0.250
O8 0.692 0.431 0.873
O9 0.692 0.819 0.261
O10 0.942 0.181 0.373
O11 0.942 0.569 0.761
O12 0.944 0.194 0.750